Entry 1:
# LuAlCuRe

LuAlCuRe after structural relaxation (PBE, OQMD).

Results
polymorph energy (0 for the lowest one): 391 meV/atom
space-group type: F-43m, No. 216

abc: 4.5774 4.5774 4.5774
angles: 60.00 60.00 60.00
Atoms (fractional coordinates):
Al: 0.0000 0.0000 0.0000
Re: 0.5000 0.5000 0.5000
Cu: 0.7500 0.7500 0.7500
Lu: 0.2500 0.2500 0.2500

---

Entry 2:
# MgMoPt6

MgMoPt6 after structural relaxation (PBE, OQMD).

Results
space-group type: P4/mmm, No. 123

abc: 3.9541 3.9541 7.9109
angles: 90.00 90.00 90.00
Atoms (fractional coordinates):
Pt: 0.0000 0.5000 0.7432
Mg: 0.0000 0.0000 0.0000
Pt: 0.5000 0.0000 0.7432
Pt: 0.5000 0.5000 0.5000
Mo: 0.0000 0.0000 0.5000
Pt: 0.5000 0.0000 0.2568
Pt: 0.0000 0.5000 0.2568
Pt: 0.5000 0.5000 0.0000

---

Entry 3:
# ZrHgSb2

ZrHgSb2 after structural relaxation (PBE, OQMD).

Results
space-group type: F-43m, No. 216

abc: 5.1811 5.1811 5.1811
angles: 60.00 60.00 60.00
Atoms (fractional coordinates):
Sb: 0.0000 0.0000 0.0000
Sb: 0.7500 0.7500 0.7500
Zr: 0.5000 0.5000 0.5000
Hg: 0.2500 0.2500 0.2500

---

Number 1: DFT total energy -5.69 eV per atom. Number 2: DFT total energy -6.55 eV per atom. Number 3: DFT total energy -4.15 eV per atom.